Below is crystalline TiCrW3 at its relaxed geometry, with properties calculated at the PBE level.

```
TiCrW3
1.0
4.4999 0.0000 0.0000
0.0000 4.4999 0.0000
0.0000 0.0000 4.4999
Ti Cr W
1 1 3
Direct
0.0000 0.0000 0.0000
0.5000 0.5000 0.5000
0.0000 0.5000 0.5000
0.5000 0.0000 0.5000
0.5000 0.5000 0.0000
```

Calculated values
Raw total energy ... -9.984 eV per atom
Calculated volume ... 91.1 Å³ per cell
Distance to the lowest polymorph of the same formula ... 0.000 eV/f.u.
ΔH_f (0 K) ... 1292 meV/atom

Below is crystalline TiCr3W at its relaxed geometry, with properties calculated at the PBE level.

```
TiCr3W
1.0
4.5922 0.0000 0.0000
0.0000 4.5922 0.0000
0.0000 0.0000 4.5922
Ti Cr W
1 3 1
Direct
0.0000 0.0000 0.0000
0.0000 0.5000 0.5000
0.5000 0.0000 0.5000
0.5000 0.5000 0.0000
0.5000 0.5000 0.5000
```

Calculated values
Raw total energy ... -8.488 eV per atom
Calculated volume ... 96.8 Å³ per cell
Distance to the lowest polymorph of the same formula ... 0.000 eV/f.u.
ΔH_f (0 K) ... 1456 meV/atom